No. 1
Pm5Cu4Pb: relaxed, PBE.

* formation energy from the elements: -0.224 eV/atom
* space group: P4/mmm, No. 123
* total moment: 0.0 μB/cell
* calculated total energy: -4.61 eV per atom

The structure in CIF format:
```
data_Pm5Cu4Pb
_chemical_formula_sum 'Pm5 Cu4 Pb1'
_space_group_name_H-M_alt 'P 1'
_space_group_IT_number 1
_cell_length_a 3.550
_cell_length_b 3.550
_cell_length_c 19.132
_cell_angle_alpha 90.00
_cell_angle_beta 90.00
_cell_angle_gamma 90.00
loop_
_space_group_symop_operation_xyz
'x,y,z'
loop_
_atom_site_label
_atom_site_fract_x
_atom_site_fract_y
_atom_site_fract_z
_atom_site_occupancy
Pm1 0.000 0.000 0.000 1
Pm2 0.000 0.000 0.188 1
Pm3 0.000 0.000 0.377 1
Pm4 0.000 0.000 0.623 1
Pm5 0.000 0.000 0.812 1
Cu1 0.500 0.500 0.096 1
Cu2 0.500 0.500 0.280 1
Cu3 0.500 0.500 0.720 1
Cu4 0.500 0.500 0.904 1
Pb1 0.500 0.500 0.500 1
```


No. 2
Pm6CuPb2: relaxed, PBE.

* formation energy from the elements: -0.308 eV/atom
* space group: P-62m, No. 189
* total moment: 0.0 μB/cell
* calculated total energy: -4.75 eV per atom

The structure in CIF format:
```
data_Pm6CuPb2
_chemical_formula_sum 'Pm6 Cu1 Pb2'
_space_group_name_H-M_alt 'P 1'
_space_group_IT_number 1
_cell_length_a 8.988
_cell_length_b 8.988
_cell_length_c 3.865
_cell_angle_alpha 90.00
_cell_angle_beta 90.00
_cell_angle_gamma 120.00
loop_
_space_group_symop_operation_xyz
'x,y,z'
loop_
_atom_site_label
_atom_site_fract_x
_atom_site_fract_y
_atom_site_fract_z
_atom_site_occupancy
Pm1 0.000 0.401 0.000 1
Pm2 0.000 0.752 0.500 1
Pm3 0.248 0.248 0.500 1
Pm4 0.401 0.000 0.000 1
Pm5 0.599 0.599 0.000 1
Pm6 0.752 0.000 0.500 1
Cu1 0.000 0.000 0.000 1
Pb1 0.333 0.667 0.500 1
Pb2 0.667 0.333 0.500 1
```


No. 3
Pm2Cu2Pb: relaxed, PBE.

* formation energy from the elements: -0.344 eV/atom
* space group: P4/mbm, No. 127
* total moment: 0.0 μB/cell
* calculated total energy: -4.62 eV per atom

The structure in CIF format:
```
data_Pm2Cu2Pb
_chemical_formula_sum 'Pm4 Cu4 Pb2'
_space_group_name_H-M_alt 'P 1'
_space_group_IT_number 1
_cell_length_a 7.703
_cell_length_b 7.703
_cell_length_c 3.932
_cell_angle_alpha 90.00
_cell_angle_beta 90.00
_cell_angle_gamma 90.00
loop_
_space_group_symop_operation_xyz
'x,y,z'
loop_
_atom_site_label
_atom_site_fract_x
_atom_site_fract_y
_atom_site_fract_z
_atom_site_occupancy
Pm1 0.174 0.326 0.000 1
Pm2 0.326 0.826 0.000 1
Pm3 0.674 0.174 0.000 1
Pm4 0.826 0.674 0.000 1
Cu1 0.116 0.616 0.500 1
Cu2 0.384 0.116 0.500 1
Cu3 0.616 0.884 0.500 1
Cu4 0.884 0.384 0.500 1
Pb1 0.000 0.000 0.500 1
Pb2 0.500 0.500 0.500 1
```